1.
{
  "formula": "Pm3IrPd",
  "functional": "GGA-PBE",
  "state": "relaxed",
  "e_above_lowest_polymorph_mev_per_atom": 0,
  "n_ef_per_ev_cell": 11.45,
  "delta_e_f_ev_per_atom": -0.673,
  "energy_ev_per_atom": -6.33,
  "crystal_system": "orthorhombic",
  "lattice_angstrom": [[7.8608, 0.0000, 0.0000], [0.0000, 4.2316, 0.0000], [0.0000, 0.0000, 16.0582]],
  "species": ["Pm", "Pm", "Pm", "Pm", "Pm", "Pm", "Pm", "Pm", "Pm", "Pm", "Pm", "Pm", "Ir", "Ir", "Ir", "Ir", "Pd", "Pd", "Pd", "Pd"],
  "fractional_positions": [[0.0196, 0.2500, 0.0978], [0.1329, 0.7500, 0.4389], [0.1726, 0.2500, 0.7200], [0.3274, 0.7500, 0.2200], [0.3671, 0.2500, 0.9389], [0.4804, 0.7500, 0.5978], [0.5196, 0.2500, 0.4022], [0.6329, 0.7500, 0.0611], [0.6726, 0.2500, 0.7800], [0.8274, 0.7500, 0.2800], [0.8671, 0.2500, 0.5611], [0.9804, 0.7500, 0.9022], [0.2429, 0.7500, 0.0438], [0.2571, 0.2500, 0.5438], [0.7429, 0.7500, 0.4562], [0.7571, 0.2500, 0.9562], [0.1142, 0.2500, 0.2942], [0.3858, 0.7500, 0.7942], [0.6142, 0.2500, 0.2058], [0.8858, 0.7500, 0.7058]]
}

---

2.
{
  "formula": "Pm4IrPd",
  "functional": "GGA-PBE",
  "state": "relaxed",
  "e_above_lowest_polymorph_mev_per_atom": 67,
  "n_ef_per_ev_cell": 7.94,
  "delta_e_f_ev_per_atom": -0.477,
  "energy_ev_per_atom": -5.99,
  "crystal_system": "monoclinic",
  "lattice_angstrom": [[3.5122, -3.5122, 0.0000], [3.5122, 3.5122, 0.0000], [-0.0178, 0.0000, 7.0601]],
  "species": ["Pm", "Pm", "Pm", "Pm", "Ir", "Pd"],
  "fractional_positions": [[0.0006, 0.5002, 0.7586], [0.5002, 0.0006, 0.7586], [0.4998, 0.9994, 0.2414], [0.9994, 0.4998, 0.2414], [0.0000, 0.0000, 0.0000], [0.5000, 0.5000, 0.5000]]
}

---

3.
{
  "formula": "Pm12IrPd6",
  "functional": "GGA-PBE",
  "state": "relaxed",
  "n_ef_per_ev_cell": 21.48,
  "delta_e_f_ev_per_atom": -0.497,
  "energy_ev_per_atom": -5.60,
  "crystal_system": "trigonal",
  "lattice_angstrom": [[6.3737, 3.6798, 4.0983], [-6.3737, 3.6798, 4.0983], [0.0000, -7.3597, 4.0983]],
  "species": ["Pm", "Pm", "Pm", "Pm", "Pm", "Pm", "Pm", "Pm", "Pm", "Pm", "Pm", "Pm", "Ir", "Pd", "Pd", "Pd", "Pd", "Pd", "Pd"],
  "fractional_positions": [[0.0433, 0.9222, 0.6792], [0.0778, 0.3208, 0.9567], [0.1820, 0.5780, 0.4170], [0.3208, 0.9567, 0.0778], [0.4170, 0.1820, 0.5780], [0.4220, 0.5830, 0.8180], [0.5780, 0.4170, 0.1820], [0.5830, 0.8180, 0.4220], [0.6792, 0.0433, 0.9222], [0.8180, 0.4220, 0.5830], [0.9222, 0.6792, 0.0433], [0.9567, 0.0778, 0.3208], [0.0000, 0.0000, 0.0000], [0.1305, 0.3115, 0.6190], [0.3115, 0.6190, 0.1305], [0.3810, 0.8695, 0.6885], [0.6190, 0.1305, 0.3115], [0.6885, 0.3810, 0.8695], [0.8695, 0.6885, 0.3810]]
}

---

4.
{
  "formula": "Pm4Ir3Pd",
  "functional": "GGA-PBE",
  "state": "relaxed",
  "n_ef_per_ev_cell": 3.15,
  "delta_e_f_ev_per_atom": -0.707,
  "energy_ev_per_atom": -7.05,
  "crystal_system": "orthorhombic",
  "lattice_angstrom": [[3.9798, 0.0000, 0.0000], [0.0000, 4.2861, 0.0000], [0.0000, 0.0000, 10.9242]],
  "species": ["Pm", "Pm", "Pm", "Pm", "Ir", "Ir", "Ir", "Pd"],
  "fractional_positions": [[0.0000, 0.0000, 0.0000], [0.0000, 0.5000, 0.2785], [0.5000, 0.0000, 0.4887], [0.5000, 0.5000, 0.7793], [0.0000, 0.5000, 0.5535], [0.5000, 0.0000, 0.2163], [0.5000, 0.5000, 0.0501], [0.0000, 0.0000, 0.7184]]
}

---

5.
{
  "formula": "Pm4IrPd",
  "functional": "GGA-PBE",
  "state": "relaxed",
  "e_above_lowest_polymorph_mev_per_atom": 0,
  "n_ef_per_ev_cell": 13.92,
  "delta_e_f_ev_per_atom": -0.543,
  "energy_ev_per_atom": -6.05,
  "crystal_system": "monoclinic",
  "lattice_angstrom": [[6.4194, 0.0000, 0.0000], [0.0000, 6.9094, 0.0000], [-2.4585, 0.0000, 7.5281]],
  "species": ["Pm", "Pm", "Pm", "Pm", "Pm", "Pm", "Pm", "Pm", "Ir", "Ir", "Pd", "Pd"],
  "fractional_positions": [[0.0020, 0.0008, 0.2382], [0.0020, 0.4992, 0.2382], [0.4286, 0.2500, 0.6113], [0.4319, 0.2500, 0.1045], [0.5681, 0.7500, 0.8955], [0.5714, 0.7500, 0.3887], [0.9980, 0.5008, 0.7618], [0.9980, 0.9992, 0.7618], [0.2403, 0.7500, 0.0609], [0.7597, 0.2500, 0.9391], [0.2255, 0.7500, 0.5555], [0.7745, 0.2500, 0.4445]]
}

---

6.
{
  "formula": "Pm4IrPd2",
  "functional": "GGA-PBE",
  "state": "relaxed",
  "e_above_lowest_polymorph_mev_per_atom": 0,
  "n_ef_per_ev_cell": 4.88,
  "delta_e_f_ev_per_atom": -0.659,
  "energy_ev_per_atom": -6.12,
  "crystal_system": "monoclinic",
  "lattice_angstrom": [[7.2018, -2.2415, 0.0000], [7.2018, 2.2415, 0.0000], [-1.6675, 0.0000, 5.8379]],
  "species": ["Pm", "Pm", "Pm", "Pm", "Ir", "Pd", "Pd"],
  "fractional_positions": [[0.0859, 0.0859, 0.2785], [0.3445, 0.3445, 0.1982], [0.6555, 0.6555, 0.8018], [0.9141, 0.9141, 0.7215], [0.5000, 0.5000, 0.0000], [0.2706, 0.2706, 0.6745], [0.7294, 0.7294, 0.3255]]
}

---

7.
{
  "formula": "Pm2IrPd",
  "functional": "GGA-PBE",
  "state": "relaxed",
  "e_above_lowest_polymorph_mev_per_atom": 0,
  "n_ef_per_ev_cell": 5.35,
  "delta_e_f_ev_per_atom": -0.778,
  "energy_ev_per_atom": -6.67,
  "crystal_system": "monoclinic",
  "lattice_angstrom": [[5.8001, 0.0000, 0.0000], [0.0000, 4.4376, 0.0000], [-2.6831, 0.0000, 7.3038]],
  "species": ["Pm", "Pm", "Pm", "Pm", "Ir", "Ir", "Pd", "Pd"],
  "fractional_positions": [[0.2171, 0.2500, 0.4368], [0.2293, 0.2500, 0.9242], [0.7707, 0.7500, 0.0758], [0.7829, 0.7500, 0.5632], [0.3316, 0.7500, 0.7099], [0.6684, 0.2500, 0.2901], [0.3235, 0.7500, 0.2059], [0.6765, 0.2500, 0.7941]]
}

---

8.
{
  "formula": "Pm3IrPd",
  "functional": "GGA-PBE",
  "state": "relaxed",
  "e_above_lowest_polymorph_mev_per_atom": 70,
  "n_ef_per_ev_cell": 17.34,
  "delta_e_f_ev_per_atom": -0.603,
  "energy_ev_per_atom": -6.26,
  "crystal_system": "monoclinic",
  "lattice_angstrom": [[8.0823, 0.0000, 0.0000], [0.0000, 6.8478, 0.0000], [-4.0422, 0.0000, 9.6273]],
  "species": ["Pm", "Pm", "Pm", "Pm", "Pm", "Pm", "Pm", "Pm", "Pm", "Pm", "Pm", "Pm", "Ir", "Ir", "Ir", "Ir", "Pd", "Pd", "Pd", "Pd"],
  "fractional_positions": [[0.1534, 0.0494, 0.3214], [0.1534, 0.4506, 0.8214], [0.2332, 0.5069, 0.5076], [0.2332, 0.9931, 0.0076], [0.3394, 0.5283, 0.1902], [0.3394, 0.9717, 0.6902], [0.6606, 0.0283, 0.3098], [0.6606, 0.4717, 0.8098], [0.7668, 0.0069, 0.9924], [0.7668, 0.4931, 0.4924], [0.8466, 0.5494, 0.1786], [0.8466, 0.9506, 0.6786], [0.0310, 0.2006, 0.5575], [0.0310, 0.2994, 0.0575], [0.9690, 0.7006, 0.9425], [0.9690, 0.7994, 0.4425], [0.4847, 0.7064, 0.9700], [0.4847, 0.7936, 0.4700], [0.5153, 0.2064, 0.5300], [0.5153, 0.2936, 0.0300]]
}

---

9.
{
  "formula": "PmIr2Pd",
  "functional": "GGA-PBE",
  "state": "relaxed",
  "n_ef_per_ev_cell": 4.82,
  "delta_e_f_ev_per_atom": -0.309,
  "energy_ev_per_atom": -7.23,
  "crystal_system": "tetragonal",
  "lattice_angstrom": [[4.0905, 0.0000, 0.0000], [0.0000, 4.0905, 0.0000], [0.0000, 0.0000, 4.2288]],
  "species": ["Pm", "Ir", "Ir", "Pd"],
  "fractional_positions": [[0.0000, 0.0000, 0.0000], [0.0000, 0.5000, 0.5000], [0.5000, 0.0000, 0.5000], [0.5000, 0.5000, 0.0000]]
}

---

10.
{
  "formula": "Pm8Ir2Pd3",
  "functional": "GGA-PBE",
  "state": "relaxed",
  "n_ef_per_ev_cell": 13.07,
  "delta_e_f_ev_per_atom": -0.501,
  "energy_ev_per_atom": -5.99,
  "crystal_system": "monoclinic",
  "lattice_angstrom": [[7.9747, -3.7463, 0.0000], [7.9747, 3.7463, 0.0000], [-2.5961, 0.0000, 6.4147]],
  "species": ["Pm", "Pm", "Pm", "Pm", "Pm", "Pm", "Pm", "Pm", "Ir", "Ir", "Pd", "Pd", "Pd"],
  "fractional_positions": [[0.0958, 0.0958, 0.4322], [0.1175, 0.6241, 0.0658], [0.3311, 0.3311, 0.5091], [0.3759, 0.8825, 0.9342], [0.6241, 0.1175, 0.0658], [0.6689, 0.6689, 0.4909], [0.8825, 0.3759, 0.9342], [0.9042, 0.9042, 0.5678], [0.2436, 0.2436, 0.8081], [0.7564, 0.7564, 0.1919], [0.0000, 0.0000, 0.0000], [0.3158, 0.6842, 0.5000], [0.6842, 0.3158, 0.5000]]
}

---

11.
{
  "formula": "Pm2IrPd",
  "functional": "GGA-PBE",
  "state": "relaxed",
  "e_above_lowest_polymorph_mev_per_atom": 43,
  "n_ef_per_ev_cell": 3.05,
  "delta_e_f_ev_per_atom": -0.735,
  "energy_ev_per_atom": -6.62,
  "crystal_system": "cubic",
  "lattice_angstrom": [[0.0000, 3.5536, 3.5536], [3.5536, 0.0000, 3.5536], [3.5536, 3.5536, 0.0000]],
  "species": ["Pm", "Pm", "Ir", "Pd"],
  "fractional_positions": [[0.2500, 0.2500, 0.2500], [0.7500, 0.7500, 0.7500], [0.0000, 0.0000, 0.0000], [0.5000, 0.5000, 0.5000]]
}

---

12.
{
  "formula": "Pm8IrPd2",
  "functional": "GGA-PBE",
  "state": "relaxed",
  "e_above_lowest_polymorph_mev_per_atom": 85,
  "n_ef_per_ev_cell": 12.61,
  "delta_e_f_ev_per_atom": -0.336,
  "energy_ev_per_atom": -5.54,
  "crystal_system": "monoclinic",
  "lattice_angstrom": [[4.2625, -6.5160, 0.0000], [4.2625, 6.5160, 0.0000], [-2.3664, 0.0000, 5.8932]],
  "species": ["Pm", "Pm", "Pm", "Pm", "Pm", "Pm", "Pm", "Pm", "Ir", "Pd", "Pd"],
  "fractional_positions": [[0.0000, 0.0000, 0.0000], [0.0082, 0.2672, 0.5781], [0.1589, 0.5552, 0.1860], [0.2672, 0.0082, 0.5781], [0.4415, 0.7000, 0.8118], [0.5552, 0.1589, 0.1860], [0.7000, 0.4415, 0.8118], [0.7081, 0.7081, 0.3617], [0.3490, 0.3490, 0.9820], [0.0376, 0.6625, 0.6809], [0.6625, 0.0376, 0.6809]]
}